Record 1
Density functional theory data (PBE) for Ac2Nd4Hg3O2 after structural relaxation.

abc: 5.0196 5.0196 12.7895
angles: 101.32 101.32 90.00
Last column: nearest neighbours and their distance in Å.
Sites, in units of the cell vectors:
Nd 0.0819 0.5819 0.1638  2 O 2.55
Nd 0.4181 0.9181 0.8362  2 O 2.55
Nd 0.5819 0.0819 0.1638  2 O 2.55
Nd 0.9181 0.4181 0.8362  2 O 2.55
O 0.6002 0.6002 0.2005  1 Ac 2.46, 4 Nd 2.55
O 0.3998 0.3998 0.7995  1 Ac 2.46, 4 Nd 2.55
Ac 0.2996 0.2996 0.5991  1 O 2.46
Ac 0.7004 0.7004 0.4009  1 O 2.46
Hg 0.1658 0.1658 0.3316  4 Nd 3.25, 1 Ac 3.29
Hg 0.0000 0.0000 0.0000  8 Nd 3.22
Hg 0.8342 0.8342 0.6684  4 Nd 3.25, 1 Ac 3.29

Values from the calculation:
Calculated total energy (eV for the cell shown): -51.71
Energy relative to the elements, uncorrected (eV per atom): -1.24
SG: I4/mmm

***

Record 2
Density functional theory data (PBE) for LaDy2Ho3Se6 after structural relaxation.

abc: 7.1105 7.1105 7.1309
angles: 99.56 99.56 120.28
Last column: nearest neighbours and their distance in Å.
Sites, in units of the cell vectors:
Se 0.2600 0.2600 0.7459  3 Ho 2.82-2.87, 2 Dy 2.89, 1 La 2.98
Se 0.5688 0.9134 0.7402  3 Ho 2.85-2.90, 2 Dy 2.91, 1 La 3.01
Se 0.9134 0.5688 0.7402  3 Ho 2.85-2.90, 2 Dy 2.91, 1 La 3.01
Se 0.4312 0.0866 0.2598  3 Ho 2.85-2.90, 2 Dy 2.91, 1 La 3.01
Se 0.0866 0.4312 0.2598  3 Ho 2.85-2.90, 2 Dy 2.91, 1 La 3.01
Se 0.7400 0.7400 0.2541  3 Ho 2.82-2.87, 2 Dy 2.89, 1 La 2.98
La 0.0000 0.0000 0.0000  6 Se 2.98-3.01
Dy 0.3331 0.6669 0.0000  6 Se 2.89-2.91
Dy 0.6669 0.3331 0.0000  6 Se 2.89-2.91
Ho 0.5000 0.5000 0.5000  6 Se 2.82-2.90
Ho 0.1607 0.8393 0.5000  6 Se 2.85-2.90
Ho 0.8393 0.1607 0.5000  6 Se 2.85-2.90

Values from the calculation:
Calculated total energy (eV for the cell shown): -70.07
Energy relative to the elements, uncorrected (eV per atom): -1.78
SG: C2/m

***

Record 3
Density functional theory data (PBE) for RbTe3Cl after structural relaxation.

abc: 7.0521 7.0521 7.0521
angles: 90.00 90.00 90.00
Last column: nearest neighbours and their distance in Å.
Sites, in units of the cell vectors:
Te 0.0000 0.0000 0.5000  2 Rb 3.53
Te 0.5000 0.0000 0.0000  2 Rb 3.53
Te 0.0000 0.5000 0.0000  2 Rb 3.53
Cl 0.5000 0.5000 0.5000  12 Te 4.99
Rb 0.0000 0.0000 0.0000  6 Te 3.53

Values from the calculation:
Calculated total energy (eV for the cell shown): -8.07
Energy relative to the elements, uncorrected (eV per atom): 0.83
SG: Pm-3m
Energy above the lowest structure with this stoichiometry (eV/atom): 0.769

***

Record 4
Density functional theory data (PBE) for ErCd4Hg after structural relaxation.

abc: 6.0747 6.0717 9.1390
angles: 90.02 90.00 90.00
Last column: nearest neighbours and their distance in Å.
Sites, in units of the cell vectors:
Hg 0.0000 0.0000 0.0000  8 Cd 3.09-3.10
Hg 0.5000 0.5000 0.0000  8 Cd 3.09-3.10
Cd 0.2500 0.7492 0.2435  4 Cd 3.04, 2 Hg 3.09-3.10, 2 Er 3.18
Cd 0.2498 0.7510 0.7565  4 Cd 3.04, 2 Hg 3.09-3.10, 2 Er 3.18
Cd 0.7498 0.7490 0.2435  4 Cd 3.04, 2 Hg 3.09-3.10, 2 Er 3.18
Cd 0.7500 0.7508 0.7565  4 Cd 3.04, 2 Hg 3.09-3.10, 2 Er 3.18
Cd 0.2502 0.2510 0.7565  4 Cd 3.04, 2 Hg 3.09-3.10, 2 Er 3.18
Cd 0.7502 0.2490 0.2435  4 Cd 3.04, 2 Hg 3.09-3.10, 2 Er 3.18
Cd 0.2500 0.2492 0.2435  4 Cd 3.04, 2 Hg 3.09-3.10, 2 Er 3.18
Cd 0.7500 0.2508 0.7565  4 Cd 3.04, 2 Hg 3.09-3.10, 2 Er 3.18
Er 0.0000 0.5000 0.5000  8 Cd 3.18
Er 0.5000 0.0000 0.5000  8 Cd 3.18

Values from the calculation:
Calculated total energy (eV for the cell shown): -16.59
Calculated formation energy (meV per atom): 38
SG: C2/m
Energy above the lowest structure with this stoichiometry (eV/atom): 0.208

***

Record 5
Density functional theory data (PBE) for Pm5Ge2As2 after structural relaxation.

abc: 7.9580 7.8799 8.4649
angles: 117.74 90.00 90.00
Last column: nearest neighbours and their distance in Å.
Sites, in units of the cell vectors:
Pm 0.1662 0.1897 0.7237  3 As 3.05-3.13, 3 Ge 3.09-3.15
Pm 0.8338 0.5340 0.7237  3 As 3.05-3.13, 3 Ge 3.09-3.15
Pm 0.3338 0.6897 0.7237  3 As 3.05-3.13, 3 Ge 3.09-3.15
Pm 0.0000 0.0000 0.0000  2 As 3.02, 4 Ge 3.12-3.14
Pm 0.8338 0.8103 0.2763  3 As 3.05-3.13, 3 Ge 3.09-3.15
Pm 0.6662 0.0340 0.7237  3 As 3.05-3.13, 3 Ge 3.09-3.15
Pm 0.3338 0.9660 0.2763  3 As 3.05-3.13, 3 Ge 3.09-3.15
Pm 0.1662 0.4660 0.2763  3 As 3.05-3.13, 3 Ge 3.09-3.15
Pm 0.6662 0.3103 0.2763  3 As 3.05-3.13, 3 Ge 3.09-3.15
Pm 0.5000 0.5000 0.0000  2 As 3.02, 4 Ge 3.12-3.14
Ge 0.3739 0.1256 0.0000  1 Ge 2.82, 8 Pm 3.09-3.15
Ge 0.8739 0.3744 0.0000  1 Ge 2.82, 8 Pm 3.09-3.15
Ge 0.1261 0.6256 0.0000  1 Ge 2.82, 8 Pm 3.09-3.15
Ge 0.6261 0.8744 0.0000  1 Ge 2.82, 8 Pm 3.09-3.15
As 0.5000 0.7013 0.4025  7 Pm 3.02-3.13
As 0.0000 0.2013 0.4025  7 Pm 3.02-3.13
As 0.5000 0.2987 0.5975  7 Pm 3.02-3.13
As 0.0000 0.7987 0.5975  7 Pm 3.02-3.13

Values from the calculation:
Calculated total energy (eV for the cell shown): -104.24
Calculated formation energy (meV per atom): -1092
SG: Cmce

***

Record 6
Density functional theory data (PBE) for Y2Al8Ir after structural relaxation.

abc: 4.2918 4.2918 11.1794
angles: 90.00 90.00 90.00
Last column: nearest neighbours and their distance in Å.
Sites, in units of the cell vectors:
Y 0.0000 0.0000 0.6906  12 Al 3.01-3.03
Y 0.0000 0.0000 0.3094  12 Al 3.01-3.03
Al 0.5000 0.0000 0.1205  2 Ir 2.53, 1 Al 2.69
Al 0.5000 0.0000 0.8795  2 Ir 2.53, 1 Al 2.69
Al 0.5000 0.0000 0.5000  4 Y 3.02, 8 Al 3.03-3.05
Al 0.0000 0.5000 0.8795  2 Ir 2.53, 1 Al 2.69
Al 0.0000 0.5000 0.1205  2 Ir 2.53, 1 Al 2.69
Al 0.0000 0.5000 0.5000  4 Y 3.02, 8 Al 3.03-3.05
Al 0.5000 0.5000 0.3064  8 Al 2.99-3.05, 4 Y 3.03
Al 0.5000 0.5000 0.6936  8 Al 2.99-3.05, 4 Y 3.03
Ir 0.0000 0.0000 0.0000  8 Al 2.53

Values from the calculation:
Calculated total energy (eV for the cell shown): -57.86
Calculated formation energy (meV per atom): -557
SG: P4/mmm

***

Record 7
Density functional theory data (PBE) for SrYAg2 after structural relaxation.

abc: 7.1840 7.1840 7.1840
angles: 38.40 38.40 38.40
Last column: nearest neighbours and their distance in Å.
Sites, in units of the cell vectors:
Sr 0.5244 0.5244 0.5244  6 Ag 3.44-3.54, 1 Y 3.66
Ag 0.9632 0.9632 0.9632  3 Ag 2.73
Ag 0.3043 0.3043 0.3043  3 Ag 2.73
Y 0.7080 0.7080 0.7080  6 Ag 3.07-3.14

Values from the calculation:
Calculated total energy (eV for the cell shown): -14.14
Calculated formation energy (meV per atom): -73
SG: R3m
Energy above the lowest structure with this stoichiometry (eV/atom): 0.219

***

Record 8
Density functional theory data (PBE) for Cs3Ni2Cl9 after structural relaxation.

abc: 9.6537 9.6537 9.6537
angles: 79.86 79.86 79.86
Last column: nearest neighbours and their distance in Å.
Sites, in units of the cell vectors:
Cl 0.6059 0.7624 0.4544  1 Ni 2.28
Cl 0.8941 0.0456 0.7376  1 Ni 2.28
Cl 0.6035 0.8965 0.7500  2 Ni 2.37
Cl 0.5456 0.3941 0.2376  1 Ni 2.28
Cl 0.2624 0.1059 0.9544  1 Ni 2.28
Cl 0.7376 0.8941 0.0456  1 Ni 2.28
Cl 0.9544 0.2624 0.1059  1 Ni 2.28
Cl 0.2500 0.3965 0.1035  2 Ni 2.37
Cl 0.8965 0.7500 0.6035  2 Ni 2.37
Cl 0.2376 0.5456 0.3941  1 Ni 2.28
Cl 0.4544 0.6059 0.7624  1 Ni 2.28
Cl 0.0456 0.7376 0.8941  1 Ni 2.28
Cl 0.3941 0.2376 0.5456  1 Ni 2.28
Cl 0.7500 0.6035 0.8965  2 Ni 2.37
Cl 0.3965 0.1035 0.2500  2 Ni 2.37
Cl 0.7624 0.4544 0.6059  1 Ni 2.28
Cl 0.1059 0.9544 0.2624  1 Ni 2.28
Cl 0.1035 0.2500 0.3965  2 Ni 2.37
Cs 0.0926 0.4074 0.7500  10 Cl 3.53-3.95
Cs 0.7500 0.0926 0.4074  10 Cl 3.53-3.95
Cs 0.9074 0.5926 0.2500  10 Cl 3.53-3.95
Cs 0.5926 0.2500 0.9074  10 Cl 3.53-3.95
Cs 0.2500 0.9074 0.5926  10 Cl 3.53-3.95
Cs 0.4074 0.7500 0.0926  10 Cl 3.53-3.95
Ni 0.1717 0.1717 0.1717  6 Cl 2.28-2.37
Ni 0.6717 0.6717 0.6717  6 Cl 2.28-2.37
Ni 0.3283 0.3283 0.3283  6 Cl 2.28-2.37
Ni 0.8283 0.8283 0.8283  6 Cl 2.28-2.37

Values from the calculation:
Calculated total energy (eV for the cell shown): -93.51
Energy relative to the elements, uncorrected (eV per atom): -1.14
SG: R-3c

***

Record 9
Density functional theory data (PBE) for LiDy2Cu after structural relaxation.

abc: 3.5558 3.5558 7.2336
angles: 90.00 90.00 90.00
Last column: nearest neighbours and their distance in Å.
Sites, in units of the cell vectors:
Li 0.5000 0.5000 0.5000  8 Dy 3.20, 4 Li 3.56
Dy 0.0000 0.0000 0.7735  4 Cu 3.00, 4 Li 3.20, 1 Dy 3.28
Dy 0.0000 0.0000 0.2265  4 Cu 3.00, 4 Li 3.20, 1 Dy 3.28
Cu 0.5000 0.5000 0.0000  8 Dy 3.00

Values from the calculation:
Calculated total energy (eV for the cell shown): -15.49
Calculated formation energy (meV per atom): -68
SG: P4/mmm

***

Record 10
Density functional theory data (PBE) for PaRu2O8 after structural relaxation.

abc: 6.6111 5.9916 5.9919
angles: 120.01 90.00 90.00
Last column: nearest neighbours and their distance in Å.
Sites, in units of the cell vectors:
O 0.8185 0.8269 0.1731  1 Ru 1.84
O 0.8186 0.8269 0.6538  1 Ru 1.84
O 0.4395 0.6667 0.3333  1 Ru 1.71
O 0.5605 0.3333 0.6666  1 Ru 1.71
O 0.8185 0.3463 0.1731  1 Ru 1.84
O 0.1815 0.1731 0.8269  1 Ru 1.84
O 0.1814 0.1731 0.3462  1 Ru 1.84
O 0.1815 0.6537 0.8269  1 Ru 1.84
Ru 0.3015 0.3332 0.6667  4 O 1.71-1.84
Ru 0.6985 0.6667 0.3333  4 O 1.71-1.84
Pa 0.0000 0.0000 0.0000  6 O 2.16

Values from the calculation:
Calculated total energy (eV for the cell shown): -84.38
Energy relative to the elements, uncorrected (eV per atom): -1.52
SG: P-3m1

***

Record 11
Density functional theory data (PBE) for Ta2CrRe after structural relaxation.

abc: 5.3221 5.3221 5.3221
angles: 138.87 138.87 59.58
Last column: nearest neighbours and their distance in Å.
Sites, in units of the cell vectors:
Ta 0.0000 0.0000 0.0000  4 Cr 2.64
Ta 0.2500 0.7500 0.5000  4 Re 2.64
Cr 0.5000 0.5000 0.0000  4 Ta 2.64
Re 0.7500 0.2500 0.5000  4 Ta 2.64

Values from the calculation:
Calculated total energy (eV for the cell shown): -45.30
Calculated formation energy (meV per atom): 119
SG: I-4m2

***

Record 12
Density functional theory data (PBE) for Sr2TaW after structural relaxation.

abc: 11.9209 11.9209 8.7600
angles: 47.12 47.12 90.00
Last column: nearest neighbours and their distance in Å.
Sites, in units of the cell vectors:
Ta 0.2500 0.7500 0.5000  2 W 2.38
Ta 0.5000 0.5000 0.0000  2 W 2.38
Sr 0.9533 0.1250 0.2500  2 W 3.18
Sr 0.7967 0.6250 0.2500  2 W 3.18
Sr 0.8750 0.2033 0.7500  2 W 3.18
Sr 0.3750 0.0467 0.7500  2 W 3.18
W 0.0000 0.0000 0.0000  2 Ta 2.38
W 0.7500 0.2500 0.5000  2 Ta 2.38

Values from the calculation:
Calculated total energy (eV for the cell shown): -44.86
Calculated formation energy (meV per atom): 1435
SG: I-42d
Energy above the lowest structure with this stoichiometry (eV/atom): 0.880